Record 1
This record from Alexandria via LeMat-Bulk describes crystalline Cs2NiPtAu at its relaxed geometry. The functional is PBE.

The space group is P4/mmm (No. 123) and the conventional cell measures 6.782, 6.782 and 5.093 Å, with angles of 90.00, 90.00 and 90.00 degrees. The inequivalent atoms are Cs at (0.000, 0.500, 0.000), Ni at (0.000, 0.000, 0.500), Pt at (0.500, 0.500, 0.000) and Au at (0.500, 0.500, 0.500).

The calculation puts the electronic total energy at -2.705 eV/atom.


Record 2
This record from Alexandria via LeMat-Bulk describes crystalline Ce3CoPt2 at its relaxed geometry. The functional is PBE.

The space group is C2/m (No. 12) and the conventional cell measures 6.992, 12.023 and 7.034 Å, with angles of 90.00, 109.29 and 90.00 degrees. The inequivalent atoms are Ce at (0.227, 0.000, 0.229), Ce at (0.247, 0.174, 0.761), Co at (0.000, 0.167, 0.000), Pt at (0.000, 0.000, 0.500), Pt at (0.000, 0.342, 0.500) and Pt at (0.000, 0.500, 0.000).

As for the energy above the lowest structure with this stoichiometry: 0.0207 eV/atom. The calculation puts the electronic total energy at -6.893 eV/atom.


Number 1: calculated formation energy 0.6567 eV per atom. Number 2: calculated formation energy -0.7283 eV per atom.